No. 1
Below is a relaxed Hf4InCuC2 crystal, with properties calculated at the PBE-GGA level.

Properties
The raw total energy is -8.66 eV per atom. As for the magnetization: 0.00 μB per formula unit.

Lattice parameters (Å, degrees): 3.289 3.289 14.220 90.00 90.00 120.00
Positions (direct):
C (0.333, 0.667, 0.262)
C (0.333, 0.667, 0.738)
Cu (0.667, 0.333, 0.500)
Hf (0.667, 0.333, 0.176)
Hf (0.000, 0.000, 0.353)
Hf (0.000, 0.000, 0.647)
Hf (0.667, 0.333, 0.824)
In (0.000, 0.000, 0.000)

No. 2
Below is a relaxed Lu4Hf2Cu3C3 crystal, with properties calculated at the PBE-GGA level.

Properties
The raw total energy is -6.62 eV per atom. As for the magnetization: 0.01 μB per formula unit.

Lattice parameters (Å, degrees): 5.833 5.833 14.851 79.32 79.32 60.09
Positions (direct):
C (0.500, 0.000, 0.000)
C (0.803, 0.349, 0.000)
C (0.197, 0.651, 0.000)
C (0.349, 0.803, 0.500)
C (0.000, 0.500, 0.500)
C (0.651, 0.197, 0.500)
Cu (0.892, 0.582, 0.250)
Cu (0.941, 0.059, 0.250)
Cu (0.418, 0.108, 0.250)
Cu (0.582, 0.892, 0.750)
Cu (0.059, 0.941, 0.750)
Cu (0.108, 0.418, 0.750)
Hf (0.473, 0.648, 0.086)
Hf (0.352, 0.527, 0.414)
Hf (0.648, 0.473, 0.586)
Hf (0.527, 0.352, 0.914)
Lu (0.811, 0.963, 0.093)
Lu (0.129, 0.304, 0.093)
Lu (0.696, 0.871, 0.407)
Lu (0.036, 0.189, 0.407)
Lu (0.964, 0.811, 0.593)
Lu (0.304, 0.129, 0.593)
Lu (0.871, 0.696, 0.907)
Lu (0.189, 0.037, 0.907)

No. 3
Below is a relaxed Hf4Cu3Mo2C3 crystal, with properties calculated at the PBE-GGA level.

Properties
The raw total energy is -8.71 eV per atom. As for the magnetization: 0.01 μB per formula unit.

Lattice parameters (Å, degrees): 5.530 5.530 13.555 102.49 102.49 60.03
Positions (direct):
C (0.000, 0.500, 0.000)
C (0.669, 0.163, 0.000)
C (0.837, 0.331, 0.500)
C (0.500, 0.000, 0.500)
C (0.163, 0.669, 0.500)
C (0.331, 0.837, 0.000)
Cu (0.680, 0.584, 0.248)
Cu (0.151, 0.849, 0.250)
Cu (0.416, 0.320, 0.252)
Cu (0.584, 0.680, 0.748)
Cu (0.849, 0.151, 0.750)
Cu (0.320, 0.416, 0.752)
Hf (0.701, 0.878, 0.104)
Hf (0.042, 0.196, 0.104)
Hf (0.804, 0.958, 0.396)
Hf (0.122, 0.299, 0.396)
Hf (0.878, 0.701, 0.604)
Hf (0.196, 0.042, 0.604)
Hf (0.958, 0.804, 0.896)
Hf (0.299, 0.122, 0.896)
Mo (0.354, 0.527, 0.076)
Mo (0.473, 0.646, 0.424)
Mo (0.527, 0.354, 0.576)
Mo (0.646, 0.473, 0.924)

No. 4
Below is a relaxed Hf2Cu3Mo4C3 crystal, with properties calculated at the PBE-GGA level.

Properties
The raw total energy is -8.71 eV per atom. As for the magnetization: 0.00 μB per formula unit.

Lattice parameters (Å, degrees): 5.336 5.336 13.572 101.73 101.73 60.06
Positions (direct):
C (0.663, 0.174, 0.000)
C (0.000, 0.500, 0.000)
C (0.337, 0.826, 0.000)
C (0.174, 0.663, 0.500)
C (0.500, 0.000, 0.500)
C (0.826, 0.337, 0.500)
Cu (0.414, 0.112, 0.249)
Cu (0.939, 0.061, 0.250)
Cu (0.888, 0.586, 0.251)
Cu (0.112, 0.414, 0.749)
Cu (0.061, 0.939, 0.750)
Cu (0.586, 0.888, 0.751)
Hf (0.376, 0.539, 0.113)
Hf (0.461, 0.624, 0.387)
Hf (0.539, 0.376, 0.613)
Hf (0.624, 0.461, 0.887)
Mo (0.022, 0.201, 0.082)
Mo (0.694, 0.856, 0.082)
Mo (0.144, 0.306, 0.418)
Mo (0.799, 0.978, 0.418)
Mo (0.201, 0.022, 0.582)
Mo (0.856, 0.694, 0.582)
Mo (0.306, 0.144, 0.918)
Mo (0.978, 0.799, 0.918)